Record 1
Compound: ZrNiTeN2
Source: Alexandria
Functional: SCAN
Structure: single point on PBEsol structure

Cell and atoms, written as POSCAR:
```
ZrNiTeN2
1.0
-1.722 3.407 0.907
-2.293 -1.849 2.592
3.207 0.728 3.356
Ni Te Zr N
1 1 1 2
Cartesian
0.000 0.000 0.000
1.603 0.364 1.678
-0.404 1.143 3.428
-1.147 -0.925 1.296
-0.861 1.704 0.454
```

Output
Formation energy from raw total energies in kcal/mol of atoms: 19.22

***

Record 2
Compound: Mo2PRu
Source: Alexandria
Functional: SCAN
Structure: single point on PBEsol structure

Cell and atoms, written as POSCAR:
```
Mo2PRu
1.0
-2.364 -1.510 1.035
2.543 -3.284 1.019
0.533 4.083 2.855
Mo P Ru
2 1 1
Cartesian
0.426 -1.485 3.127
0.286 0.774 1.782
-1.182 -0.755 0.517
1.272 -1.642 0.509
```

Output
DFT formation energy in eV/f.u.: -0.6

***

Record 3
Compound: K3TaCd
Source: Alexandria
Functional: SCAN
Structure: single point on PBEsol structure

Cell and atoms, written as POSCAR:
```
K3TaCd
1.0
-3.375 -3.110 -4.262
4.188 -4.656 0.082
-3.209 -2.805 4.589
K Cd Ta
3 1 1
Cartesian
2.094 -2.328 0.041
-1.605 -1.403 2.294
-1.687 -1.555 -2.131
0.000 0.000 0.000
-1.198 -5.286 0.205
```

Output
DFT formation energy in eV/f.u.: 7.1

***

Record 4
Compound: KLa2SiS
Source: Alexandria
Functional: SCAN
Structure: single point on PBEsol structure

Cell and atoms, written as POSCAR:
```
KLa2SiS
1.0
4.961 0.000 0.000
0.000 5.491 0.000
0.000 0.000 5.491
K Si S La
1 1 1 2
Cartesian
2.481 2.745 2.745
2.481 0.000 0.000
0.000 0.000 0.000
0.000 0.000 2.745
0.000 2.745 0.000
```

Output
Formation energy from raw total energies in kcal/mol of atoms: -9.31

***

Record 5
Compound: PaTiTc2
Source: Alexandria
Functional: SCAN
Structure: single point on PBEsol structure

Cell and atoms, written as POSCAR:
```
PaTiTc2
1.0
-4.406 -0.054 1.214
-1.807 -3.754 1.880
-1.152 -0.014 4.423
Pa Tc Ti
1 2 1
Cartesian
-3.683 -1.911 3.758
-5.524 -2.866 5.638
-1.841 -0.955 1.879
0.000 0.000 0.000
```

Output
DFT formation energy in eV/f.u.: -1.6

***

Record 6
Compound: ReTe2MoN
Source: Alexandria
Functional: SCAN
Structure: single point on PBEsol structure

Cell and atoms, written as POSCAR:
```
ReTe2MoN
1.0
3.685 0.000 0.000
0.000 5.286 0.000
0.000 0.000 5.286
Re Mo Te N
1 1 2 1
Cartesian
1.843 2.643 2.643
0.000 0.000 0.000
0.000 0.000 2.643
0.000 2.643 0.000
1.843 0.000 0.000
```

Output
Energy relative to the lowest polymorph listed for this composition in meV per atom: 393
Formation energy from raw total energies in kcal/mol of atoms: 25.63

***

Record 7
Compound: Ca4Be4P4O17F3
Source: Alexandria
Functional: SCAN
Structure: single point on PBEsol structure

Cell and atoms, written as POSCAR:
```
Ca4Be4P4O17F3
1.0
4.762 -0.006 0.003
-0.007 7.670 -0.002
0.121 0.006 9.716
Ca Be P O F
4 4 4 17 3
Cartesian
0.101 2.978 8.068
0.076 6.770 6.513
4.766 4.676 1.658
0.066 0.847 3.206
2.246 0.665 8.130
2.653 4.509 6.442
2.613 7.014 1.582
2.230 3.171 3.275
2.566 1.763 5.669
2.366 5.589 8.942
2.308 5.923 4.072
2.505 2.081 0.784
1.569 1.193 6.724
3.332 5.022 7.852
3.289 6.511 3.001
1.536 2.646 1.877
3.218 3.027 6.282
1.681 6.836 8.311
1.669 4.661 3.425
3.184 0.829 1.413
3.674 0.766 5.309
1.279 4.600 9.350
1.215 6.905 4.472
3.584 3.077 0.378
1.751 1.669 9.293
3.159 5.516 5.300
3.112 5.997 0.440
1.745 2.134 4.411
3.833 0.746 7.877
1.087 4.545 6.559
1.045 6.959 1.702
3.797 3.108 3.162
```

Output
Formation energy from raw total energies in kcal/mol of atoms: -71.25

***

Record 8
Compound: CdSiAu2
Source: Alexandria
Functional: SCAN
Structure: single point on PBEsol structure

Cell and atoms, written as POSCAR:
```
CdSiAu2
1.0
-0.042 0.329 3.061
-1.945 -1.673 1.702
5.271 -6.591 2.330
Au Cd Si
2 1 1
Cartesian
-1.876 -1.459 4.776
2.505 -5.994 5.324
1.616 -3.941 3.543
0.694 -1.852 1.757
```

Output
Formation energy from raw total energies in kcal/mol of atoms: 2.18

***

Record 9
Compound: BaMoN2
Source: Alexandria
Functional: SCAN
Structure: single point on PBEsol structure

Cell and atoms, written as POSCAR:
```
BaMoN2
1.0
-0.803 5.038 -1.303
-5.063 -0.451 1.376
4.121 -0.852 4.805
Mo Ba N
2 2 4
Cartesian
0.193 3.240 1.769
-2.933 2.294 0.037
-1.937 0.495 3.109
0.000 0.000 0.000
-3.826 2.067 1.714
-1.446 3.242 0.780
1.569 -0.136 3.827
0.213 2.298 3.435
```

Output
Formation energy from raw total energies in kcal/mol of atoms: -14.73

***

Record 10
Compound: Tm2Cr2C3
Source: Alexandria
Functional: SCAN
Structure: single point on PBEsol structure

Cell and atoms, written as POSCAR:
```
Tm2Cr2C3
1.0
3.275 0.000 0.000
-1.638 5.158 0.010
0.000 -1.532 5.218
Cr C Tm
2 3 2
Cartesian
0.000 0.245 4.628
1.638 3.381 0.601
1.638 1.091 3.998
0.000 2.535 1.231
0.000 0.000 0.000
0.000 3.000 3.573
1.638 0.626 1.656
```

Output
DFT formation energy in eV/f.u.: -3.0

***

Record 11
Compound: MoOs5
Source: Alexandria
Functional: SCAN
Structure: single point on PBEsol structure

Cell and atoms, written as POSCAR:
```
MoOs5
1.0
-1.133 -0.860 -2.339
4.882 1.078 -1.160
0.301 -6.092 2.094
Mo Os
1 5
Cartesian
0.302 -6.085 2.090
3.428 -1.198 -1.221
0.980 -2.253 -1.249
0.660 -3.649 1.022
3.065 -3.623 -0.153
1.656 -5.894 -0.238
```

Output
Energy relative to the lowest polymorph listed for this composition in meV per atom: 9
DFT formation energy in eV/f.u.: -0.2

***

Record 12
Compound: SnPWCl2
Source: Alexandria
Functional: SCAN
Structure: single point on PBEsol structure

Cell and atoms, written as POSCAR:
```
SnPWCl2
1.0
-4.058 -1.304 -1.994
1.654 -4.377 -0.503
-1.756 -1.161 4.332
P Sn W Cl
1 1 1 2
Cartesian
-0.878 -0.581 2.166
-2.080 -3.421 0.917
0.000 0.000 0.000
0.827 -2.188 -0.251
-2.029 -0.652 -0.997
```

Output
Formation energy from raw total energies in kcal/mol of atoms: 6.68

***

Asked for V across the records above, the calculation gives 72.3 54.7 245.6 149.6 67.5 103.0 354.9 70.4 71.9 88.2 84.9 106.7 Å³/f.u. in order.